## Sm6Dy3Tl (GGA-PBE)

Data for a relaxed structure of Sm6Dy3Tl.

abc: 3.604 12.318 14.808
angles: 93.82 90.00 90.00
Element x y z (fractional)
Sm (0.250, 0.380, 0.547)
Sm (0.750, 0.620, 0.453)
Sm (0.250, 0.887, 0.996)
Sm (0.750, 0.113, 0.004)
Sm (0.250, 0.809, 0.607)
Sm (0.750, 0.191, 0.393)
Sm (0.250, 0.698, 0.251)
Sm (0.750, 0.302, 0.749)
Sm (0.250, 0.564, 0.890)
Sm (0.750, 0.436, 0.110)
Sm (0.250, 0.205, 0.189)
Sm (0.750, 0.795, 0.811)
Dy (0.250, 0.100, 0.582)
Dy (0.750, 0.900, 0.418)
Dy (0.250, 0.426, 0.319)
Dy (0.750, 0.574, 0.681)
Dy (0.250, 0.052, 0.804)
Dy (0.750, 0.948, 0.196)
Tl (0.250, 0.312, 0.941)
Tl (0.750, 0.688, 0.059)

Properties
The spin magnetization comes out at 0.000 μB/atom. The total energy is -0.1628 Ha/atom. The space-group type is P2_1/m. The calculation puts the energy of formation at 0.02 eV/atom. As for the density of states at the Fermi level: 1.400 states/eV per atom.